The following is a PBE-GGA calculation of a relaxed structure of SbPd2Pt5, from the Alexandria database.

Properties
- Raw formation energy: -15 kJ per mole of atoms
- Crystal system: orthorhombic
- Density: 16.85 g cm⁻³
- Space-group type: Pbam

The structure in POSCAR format:
```
SbPd2Pt5
1.0
5.6887 0.0000 0.0000
0.0000 11.1916 0.0000
0.0000 0.0000 4.0547
Sb Pd Pt
2 4 10
direct
0.0000 0.0000 0.0000
0.5000 0.5000 0.0000
0.2384 0.1222 0.5000
0.2616 0.6222 0.5000
0.7384 0.3778 0.5000
0.7616 0.8778 0.5000
0.0000 0.5000 0.0000
0.0128 0.7519 0.0000
0.2348 0.3716 0.5000
0.2652 0.8716 0.5000
0.4872 0.2519 0.0000
0.5000 0.0000 0.0000
0.5128 0.7481 0.0000
0.7348 0.1284 0.5000
0.7652 0.6284 0.5000
0.9872 0.2481 0.0000
```